# 1
A plane-wave DFT calculation with PBE-GGA was carried out for MgHgPb after structural relaxation.

Lattice parameters (Å, degrees): 8.8825 6.2335 5.8302 90.00 90.00 90.00
Last column: nearest neighbours and their distance in Å.
Fractional positions:
Hg (0.0000, 0.5000, 0.0000)  2 Mg 2.94, 2 Hg 3.12
Pb (0.8807, 0.2500, 0.4906)  5 Mg 3.02-3.28
Mg (0.7800, 0.7500, 0.4839)  2 Hg 2.94, 5 Pb 3.02-3.28
Mg (0.2200, 0.2500, 0.5161)  2 Hg 2.94, 5 Pb 3.02-3.28
Pb (0.3807, 0.2500, 0.0094)  5 Mg 3.02-3.28
Mg (0.7200, 0.2500, 0.9839)  2 Hg 2.94, 5 Pb 3.02-3.28
Mg (0.2800, 0.7500, 0.0161)  2 Hg 2.94, 5 Pb 3.02-3.28
Pb (0.1193, 0.7500, 0.5094)  5 Mg 3.02-3.28
Hg (0.5000, 0.0000, 0.5000)  2 Mg 2.94, 2 Hg 3.12
Hg (0.5000, 0.5000, 0.5000)  2 Mg 2.94, 2 Hg 3.12
Hg (0.0000, 0.0000, 0.0000)  2 Mg 2.94, 2 Hg 3.12
Pb (0.6193, 0.7500, 0.9906)  5 Mg 3.02-3.28

## Properties
**Space-group type**: No. 62
**Crystal system**: orthorhombic
**Fermi-level density of states**: 0.57 states/eV per atom
**Calculated formation energy**: 0.0435 eV per atom
**Size of the total moment**: 0.00 μB per cell

# 2
A plane-wave DFT calculation with PBE-GGA was carried out for Pr3HfP4 after structural relaxation.

Lattice parameters (Å, degrees): 4.0583 7.0473 7.0473 109.15 90.00 90.00
Last column: nearest neighbours and their distance in Å.
Fractional positions:
Hf (0.5000, 0.0000, 0.0000)  6 P 2.72-2.75
P (0.0000, 0.7731, 0.7731)  2 Hf 2.75, 4 Pr 2.88-3.02
P (0.5000, 0.2369, 0.7631)  1 Hf 2.72, 5 Pr 2.88-3.02
Pr (0.5000, 0.5000, 0.5000)  6 P 3.02
P (0.0000, 0.2269, 0.2269)  2 Hf 2.75, 4 Pr 2.88-3.02
Pr (0.0000, 0.0000, 0.5000)  6 P 2.88
Pr (0.0000, 0.5000, 0.0000)  6 P 2.88
P (0.5000, 0.7631, 0.2369)  1 Hf 2.72, 5 Pr 2.88-3.02

## Properties
**Space-group type**: No. 65
**Crystal system**: orthorhombic
**Fermi-level density of states**: 0.18 states/eV per atom
**Calculated formation energy**: -1.4200 eV per atom
**Size of the total moment**: 0.00 μB per cell

# 3
A plane-wave DFT calculation with PBE-GGA was carried out for CdAuCl2 after structural relaxation.

Lattice parameters (Å, degrees): 3.7934 6.2054 3.9683 90.00 90.00 90.00
Last column: nearest neighbours and their distance in Å.
Fractional positions:
Cd (0.0000, 0.5000, 0.5000)  4 Cl 2.74
Cl (0.0000, 0.0000, 0.0000)  4 Au 2.74
Au (0.5000, 0.0000, 0.5000)  4 Cl 2.74
Cl (0.5000, 0.5000, 0.0000)  4 Cd 2.74

## Properties
**E_form (uncorrected)**: -3.0 kcal/mol of atoms
**Space-group type**: No. 47
**Crystal system**: orthorhombic
**Fermi-level density of states**: 0.31 states/eV per atom
**Size of the total moment**: 0.00 μB per cell

# 4
A plane-wave DFT calculation with PBE-GGA was carried out for Ag2PRu after structural relaxation.

Lattice parameters (Å, degrees): 2.7952 2.7952 9.6139 90.00 90.00 119.22
Last column: nearest neighbours and their distance in Å.
Fractional positions:
Ag (0.0000, 0.0000, 0.7475)  2 P 2.77, 6 Ag 2.80-2.83, 2 Ru 2.81
Ag (0.0000, 0.0000, 0.2525)  2 P 2.77, 6 Ag 2.80-2.83, 2 Ru 2.81
P (0.5000, 0.5000, 0.5000)  4 Ag 2.77, 6 P 2.80-2.83
Ru (0.5000, 0.5000, 0.0000)  6 Ru 2.80-2.83, 4 Ag 2.81

## Properties
**Space-group type**: No. 65
**Crystal system**: orthorhombic
**Fermi-level density of states**: 0.64 states/eV per atom
**Calculated formation energy**: 0.5541 eV per atom
**Size of the total moment**: 1.05 μB per cell

# 5
A plane-wave DFT calculation with PBE-GGA was carried out for CaBPd2S after structural relaxation.

Lattice parameters (Å, degrees): 4.6838 4.0969 4.6838 90.00 90.00 90.00
Last column: nearest neighbours and their distance in Å.
Fractional positions:
B (0.0000, 0.5000, 0.0000)  2 S 2.05
Pd (0.0000, 0.0000, 0.5000)  2 S 2.34
Pd (0.5000, 0.0000, 0.0000)  2 S 2.34
Ca (0.5000, 0.5000, 0.5000)  8 Pd 3.11, 4 B 3.31
S (0.0000, 0.0000, 0.0000)  2 B 2.05

## Properties
**E_form (uncorrected)**: 5.0 kcal/mol of atoms
**Space-group type**: No. 123
**Crystal system**: tetragonal
**Fermi-level density of states**: 0.64 states/eV per atom
**Size of the total moment**: 0.00 μB per cell

# 6
A plane-wave DFT calculation with PBE-GGA was carried out for Pm2PrZrP4 after structural relaxation.

Lattice parameters (Å, degrees): 4.0392 7.0081 6.9966 109.22 90.00 90.00
Last column: nearest neighbours and their distance in Å.
Fractional positions:
Zr (0.0000, 0.0000, 0.0000)  6 P 2.74-2.77
P (0.0000, 0.7625, 0.2433)  1 Zr 2.74, 3 Pm 2.85-2.96, 2 Pr 2.88
P (0.0000, 0.2375, 0.7567)  1 Zr 2.74, 3 Pm 2.85-2.96, 2 Pr 2.88
Pm (0.0000, 0.5000, 0.5000)  6 P 2.96
Pm (0.5000, 0.0000, 0.5000)  6 P 2.84-2.85
Pr (0.5000, 0.5000, 0.0000)  6 P 2.87-2.88
P (0.5000, 0.2318, 0.2346)  2 Zr 2.77, 3 Pm 2.84-2.96, 1 Pr 2.87
P (0.5000, 0.7682, 0.7654)  2 Zr 2.77, 3 Pm 2.84-2.96, 1 Pr 2.87

## Properties
**Space-group type**: No. 10
**Crystal system**: monoclinic
**Fermi-level density of states**: 0.19 states/eV per atom
**Calculated formation energy**: -1.4716 eV per atom
**Size of the total moment**: 0.00 μB per cell

# 7
A plane-wave DFT calculation with PBE-GGA was carried out for Pa2BeBiO8 after structural relaxation.

Lattice parameters (Å, degrees): 4.9329 4.9329 6.6364 90.00 90.00 120.00
Last column: nearest neighbours and their distance in Å.
Fractional positions:
O (0.1652, 0.3304, 0.1612)  1 Be 1.77
O (0.6667, 0.3333, 0.4412)  1 Pa 1.96
O (0.6696, 0.8348, 0.1612)  1 Be 1.77
Pa (0.3333, 0.6667, 0.8539)  1 O 1.96
O (0.1652, 0.8348, 0.1612)  1 Be 1.77
O (0.3333, 0.6667, 0.5588)  1 Pa 1.96
O (0.8348, 0.6696, 0.8388)  1 Be 1.77
O (0.8348, 0.1652, 0.8388)  1 Be 1.77
Bi (0.0000, 0.0000, 0.5000)  12 O 2.65-2.87
Pa (0.6667, 0.3333, 0.1461)  1 O 1.96
O (0.3304, 0.1652, 0.8388)  1 Be 1.77
Be (0.0000, 0.0000, 0.0000)  6 O 1.77

## Properties
**E_form (uncorrected)**: -53.3 kcal/mol of atoms
**Space-group type**: No. 164
**Crystal system**: trigonal
**Fermi-level density of states**: 0.26 states/eV per atom
**Size of the total moment**: 0.00 μB per cell

# 8
A plane-wave DFT calculation with PBE-GGA was carried out for BaMgPt2F8 after structural relaxation.

Lattice parameters (Å, degrees): 5.3433 5.3433 7.4004 90.00 90.00 120.00
Last column: nearest neighbours and their distance in Å.
Fractional positions:
Ba (0.0000, 0.0000, 0.0000)  12 F 2.90-3.10
F (0.3333, 0.6667, 0.9524)  1 Pt 2.13
F (0.7528, 0.6818, 0.6680)  1 Mg 1.98, 1 Pt 2.20
Pt (0.6667, 0.3333, 0.3358)  4 F 2.13-2.20
Pt (0.3333, 0.6667, 0.6642)  4 F 2.13-2.20
F (0.6667, 0.3333, 0.0476)  1 Pt 2.13
F (0.9290, 0.2472, 0.6680)  1 Mg 1.98, 1 Pt 2.20
F (0.3182, 0.0710, 0.6680)  1 Mg 1.98, 1 Pt 2.20
F (0.2472, 0.3182, 0.3320)  1 Mg 1.98, 1 Pt 2.20
F (0.6818, 0.9290, 0.3320)  1 Mg 1.98, 1 Pt 2.20
Mg (0.0000, 0.0000, 0.5000)  6 F 1.98
F (0.0710, 0.7528, 0.3320)  1 Mg 1.98, 1 Pt 2.20

## Properties
**E_form (uncorrected)**: -44.7 kcal/mol of atoms
**Space-group type**: No. 147
**Crystal system**: trigonal
**Fermi-level density of states**: 0.66 states/eV per atom
**Size of the total moment**: 4.04 μB per cell

# 9
A plane-wave DFT calculation with PBE-GGA was carried out for Ag4SeBr after structural relaxation.

Lattice parameters (Å, degrees): 5.6448 5.6448 5.6448 60.00 60.00 60.00
Last column: nearest neighbours and their distance in Å.
Fractional positions:
Br (0.7500, 0.7500, 0.7500)  12 Ag 3.31, 4 Se 3.46
Ag (0.8759, 0.3747, 0.3747)  6 Ag 2.82-2.83
Ag (0.3747, 0.3747, 0.8759)  6 Ag 2.82-2.83
Ag (0.3747, 0.3747, 0.3747)  6 Ag 2.82-2.83
Ag (0.3747, 0.8759, 0.3747)  6 Ag 2.82-2.83
Se (0.0000, 0.0000, 0.0000)  12 Ag 3.31, 4 Br 3.46

## Properties
**E_form (uncorrected)**: 6.0 kcal/mol of atoms
**Space-group type**: No. 216
**Crystal system**: cubic
**Fermi-level density of states**: 0.66 states/eV per atom
**Size of the total moment**: 0.00 μB per cell

# 10
A plane-wave DFT calculation with PBE-GGA was carried out for UHgCl6 after structural relaxation.

Lattice parameters (Å, degrees): 7.3558 7.3688 8.1202 62.58 62.80 59.74
Last column: nearest neighbours and their distance in Å.
Fractional positions:
Cl (0.4869, 0.3477, 0.2919)  1 U 2.48
Cl (0.5131, 0.6523, 0.7081)  1 U 2.48
U (0.5000, 0.5000, 0.5000)  6 Cl 2.47-2.48
Hg (0.0000, 0.0000, 0.0000)  6 Cl 3.74-3.76
Cl (0.8764, 0.4865, 0.2925)  1 U 2.47
Cl (0.1236, 0.5135, 0.7074)  1 U 2.47
Cl (0.3455, 0.8774, 0.2917)  1 U 2.48
Cl (0.6545, 0.1226, 0.7083)  1 U 2.48

## Properties
**E_form (uncorrected)**: -29.9 kcal/mol of atoms
**Space-group type**: No. 2
**Crystal system**: triclinic
**Fermi-level density of states**: 0.62 states/eV per atom
**Size of the total moment**: 0.06 μB per cell

# 11
A plane-wave DFT calculation with PBE-GGA was carried out for RbAgPt2 after structural relaxation.

Lattice parameters (Å, degrees): 4.8902 4.8902 4.8902 60.00 60.00 60.00
Last column: nearest neighbours and their distance in Å.
Fractional positions:
Pt (0.7500, 0.7500, 0.7500)  4 Rb 2.99, 4 Ag 2.99
Ag (0.5000, 0.5000, 0.5000)  8 Pt 2.99
Rb (0.0000, 0.0000, 0.0000)  8 Pt 2.99
Pt (0.2500, 0.2500, 0.2500)  4 Rb 2.99, 4 Ag 2.99

## Properties
**Space-group type**: No. 225
**Crystal system**: cubic
**Fermi-level density of states**: 0.41 states/eV per atom
**Calculated formation energy**: 0.7039 eV per atom
**Size of the total moment**: 0.00 μB per cell

# 12
A plane-wave DFT calculation with PBE-GGA was carried out for TaMnOs2 after structural relaxation.

Lattice parameters (Å, degrees): 5.9548 5.9548 5.9548 49.41 152.53 139.76
Last column: nearest neighbours and their distance in Å.
Fractional positions:
Os (0.0000, 0.7909, 0.7909)  1 Mn 2.26
Os (0.0000, 0.2091, 0.2091)  1 Mn 2.26
Mn (0.0000, 0.0000, 0.0000)  2 Os 2.26, 4 Ta 2.49
Ta (0.0000, 0.5000, 0.5000)  4 Mn 2.49

## Properties
**Space-group type**: No. 71
**Crystal system**: orthorhombic
**Fermi-level density of states**: 0.77 states/eV per atom
**Calculated formation energy**: 0.4811 eV per atom
**Size of the total moment**: 0.00 μB per cell